# GGA-PBE RbTl2SnHg, relaxed
# Energy of formation from the pure elements = 0.059 eV per atom
data_RbTl2SnHg
_space_group_name_H-M_alt 'P 4/m m m'
_space_group_IT_number 123
_space_group_name_Hall '-P 4 2'
_cell_length_a 5.933
_cell_length_b 5.933
_cell_length_c 6.004
_cell_angle_alpha 90.00
_cell_angle_beta 90.00
_cell_angle_gamma 90.00
loop_
_atom_site_label
_atom_site_type_symbol
_atom_site_fract_x
_atom_site_fract_y
_atom_site_fract_z
Rb1 Rb 0.000 0.000 0.000
Tl1 Tl 0.000 0.500 0.500
Sn1 Sn 0.500 0.500 0.500
Hg1 Hg 0.500 0.500 0.000